No. 1
Compound: YGa4CuNi2
Source: Alexandria via LeMat-Bulk
Functional: GGA-PBE
Structure: optimized geometry

Output
Uncorrected energy: -112.27 eV/cell
Size of the total moment: 0.0000 μB/atom
Energy of formation from the pure elements: -399 meV/atom
Volume: 15.7 A^3/atom

abc: 4.1144 4.1144 25.7524
angles: 90.00 90.00 120.00
Space group R-3m (No. 166, hexagonal axes)
Inequivalent atoms, fractional coordinates:
Y 0.0000 0.0000 0.0000
Ga 0.0000 0.0000 0.1288
Ga 0.0000 0.0000 0.4015
Cu 0.0000 0.0000 0.5000
Ni 0.0000 0.0000 0.2341

***

No. 2
Compound: Y2GaCuNi
Source: Alexandria via LeMat-Bulk
Functional: GGA-PBE
Structure: optimized geometry

Output
Uncorrected energy: -24.92 eV/cell
Size of the total moment: 0.0000 μB/atom
Energy of formation from the pure elements: 182 meV/atom
Volume: 23.9 A^3/atom

abc: 5.246 5.246 4.350
angles: 90.00 90.00 90.00
Space group P4/mmm (No. 123)
Inequivalent atoms, fractional coordinates:
Y 0.000 0.500 0.000
Ga 0.000 0.000 0.500
Cu 0.000 0.000 0.000
Ni 0.500 0.500 0.500

***

No. 3
Compound: YGa3CuNi
Source: Alexandria via LeMat-Bulk
Functional: GGA-PBE
Structure: optimized geometry

Output
Uncorrected energy: -108.52 eV/cell
Size of the total moment: 0.0000 μB/atom
Energy of formation from the pure elements: -284 meV/atom
Volume: 17.3 A^3/atom

abc: 5.950 11.881 5.884
angles: 90.00 90.00 90.00
Space group Cmcm (No. 63)
Inequivalent atoms, fractional coordinates:
Y 0.000 0.221 0.250
Ga 0.000 0.352 0.750
Ga 0.212 0.000 0.000
Cu 0.000 0.145 0.750
Ni 0.000 0.438 0.250